LaTmZnTe3: optimized geometry, GGA-PBE.

Cell and atoms, written as POSCAR:
```
LaTmZnTe3
1.0
2.128 -7.580 0.000
2.128 7.580 0.000
0.000 0.000 10.656
La Tm Zn Te
2 2 2 6
Cartesian
2.128 4.184 7.992 La
2.128 -4.184 2.664 La
0.000 0.000 0.000 Tm
0.000 0.000 5.328 Tm
2.128 0.349 2.664 Zn
2.128 -0.349 7.992 Zn
2.128 5.925 2.664 Te
2.128 2.212 0.466 Te
2.128 2.212 4.862 Te
2.128 -2.212 5.794 Te
2.128 -2.212 10.190 Te
2.128 -5.925 7.992 Te
```

## Properties
Space-group type   No. 63
Uncorrected energy   -4.356 eV per atom